# PBE Dy3Ho2Hg2, optimized geometry
data_Dy3Ho2Hg2
_chemical_formula_sum 'Dy9 Ho6 Hg6'
_cell_length_a 5.3326
_cell_length_b 5.3326
_cell_length_c 23.6844
_cell_angle_alpha 90.00
_cell_angle_beta 90.00
_cell_angle_gamma 120.00
_space_group_name_H-M_alt 'R -3 m'
_space_group_IT_number 166
_space_group_name_Hall '-R 3 2"'
loop_
_atom_site_label
_atom_site_type_symbol
_atom_site_fract_x
_atom_site_fract_y
_atom_site_fract_z
Dy1 Dy 0.0000 0.0000 0.0000
Dy2 Dy 0.0000 0.0000 0.1578
Ho1 Ho 0.0000 0.0000 0.4251
Hg1 Hg 0.0000 0.0000 0.2869
# theoretical density = 10.4 g/cm³
# energy = -3.607 eV per atom


# PBE HfAlRu, optimized geometry
data_HfAlRu
_chemical_formula_sum 'Hf2 Al2 Ru2'
_cell_length_a 5.203
_cell_length_b 2.926
_cell_length_c 6.738
_cell_angle_alpha 90.00
_cell_angle_beta 90.00
_cell_angle_gamma 90.00
_space_group_name_H-M_alt 'P m m a'
_space_group_IT_number 51
_space_group_name_Hall '-P 2a 2a'
loop_
_atom_site_label
_atom_site_type_symbol
_atom_site_fract_x
_atom_site_fract_y
_atom_site_fract_z
Hf1 Hf 0.250 0.000 0.114
Al1 Al 0.000 0.000 0.500
Ru1 Ru 0.250 0.500 0.774
# theoretical density = 9.9 g/cm³
# energy = -7.979 eV per atom